The following is a PBE+U calculation of a geometry-optimized ErTl2W3O12 structure, from Alexandria via LeMat-Bulk.

Output
The calculation puts the total DFT energy (no corrections) at -6.98 eV/atom. The total magnetization is 0.9 μB per formula unit. The calculation puts the volume at 17.061 Å³/atom.

Structure (CIF):
```
data_ErTl2W3O12
_cell_length_a 7.6506
_cell_length_b 7.6506
_cell_length_c 7.6506
_cell_angle_alpha 58.68
_cell_angle_beta 58.68
_cell_angle_gamma 58.68
_symmetry_space_group_name_H-M 'P 1'
_symmetry_Int_Tables_number 1
_symmetry_space_group_name_Hall 'P 1'
loop_
_atom_site_label
_atom_site_fract_x
_atom_site_fract_y
_atom_site_fract_z
O1 0.2997 0.2997 0.9360
O2 0.0640 0.7003 0.7003
O3 0.6465 0.0766 0.0766
O4 0.2997 0.9360 0.2997
O5 0.0766 0.6465 0.0766
O6 0.0766 0.0766 0.6465
O7 0.7003 0.7003 0.0640
O8 0.9360 0.2997 0.2997
O9 0.3535 0.9234 0.9234
O10 0.7003 0.0640 0.7003
O11 0.9234 0.3535 0.9234
O12 0.9234 0.9234 0.3535
W1 0.0000 0.5000 0.0000
W2 0.0000 0.0000 0.5000
W3 0.5000 0.0000 0.0000
Tl1 0.3377 0.3377 0.3377
Tl2 0.6623 0.6623 0.6623
Er1 0.0000 0.0000 0.0000
```